# 1
VASP calculation (GGA-PBE) on a geometry-optimized Y2ZrTe structure.

The structure in extended XYZ format:
```
4
Lattice="0.000 3.725 3.725 3.725 0.000 3.725 3.725 3.725 0.000" Properties=species:S:1:pos:R:3 pbc="T T T"
Y 0.000 0.000 0.000
Y 1.862 1.862 1.862
Zr 3.725 3.725 3.725
Te 5.587 5.587 5.587
```

- final energy (eV/f.u.) = -24.91
- space-group type = F-43m
- magnetization (μB per formula unit) = 1.872



# 2
VASP calculation (GGA-PBE) on a geometry-optimized RbCoOs structure.

The structure in extended XYZ format:
```
3
Lattice="0.000 3.299 3.299 3.299 0.000 3.299 3.299 3.299 0.000" Properties=species:S:1:pos:R:3 pbc="T T T"
Rb 0.000 0.000 0.000
Co 4.949 4.949 4.949
Os 1.650 1.650 1.650
```

- final energy (eV/f.u.) = -9.87
- space-group type = F-43m
- magnetization (μB per formula unit) = 3.962



# 3
VASP calculation (GGA-PBE) on a geometry-optimized TmTlPO structure.

The structure in extended XYZ format:
```
8
Lattice="4.106 0.000 0.000 0.000 4.106 0.000 0.000 0.000 9.416" Properties=species:S:1:pos:R:3 pbc="T T T"
Tm 1.026 1.026 0.961
Tm 3.079 3.079 8.455
Tl 1.026 3.079 4.708
Tl 3.079 1.026 4.708
P 1.026 1.026 6.836
P 3.079 3.079 2.579
O 1.026 3.079 0.000
O 3.079 1.026 0.000
```

- final energy (eV/f.u.) = -22.42
- space-group type = P4/nmm
- magnetization (μB per formula unit) = 0.225